(1)
# RbSnF5, optimized geometry, DFT PBE-GGA
# Uncorrected formation energy (meV/atom): -2654
data_RbSnF5
_chemical_formula_sum 'Rb2 Sn2 F10'
_cell_length_a 6.4191
_cell_length_b 6.4191
_cell_length_c 8.3658
_cell_angle_alpha 108.00
_cell_angle_beta 108.00
_cell_angle_gamma 74.50
_symmetry_space_group_name_H-M 'P 1'
_symmetry_Int_Tables_number 1
loop_
_symmetry_equiv_pos_as_xyz
'x,y,z'
loop_
_atom_site_label
_atom_site_fract_x
_atom_site_fract_y
_atom_site_fract_z
Rb1 0.0216 0.9784 0.7500
Rb2 0.9784 0.0216 0.2500
Sn1 0.5000 0.5000 0.0000
Sn2 0.5000 0.5000 0.5000
F1 0.2328 0.7395 0.0160
F2 0.2605 0.7672 0.4840
F3 0.2745 0.3109 0.3998
F4 0.3109 0.2745 0.8998
F5 0.4648 0.5352 0.7500
F6 0.5352 0.4648 0.2500
F7 0.6891 0.7255 0.1002
F8 0.7255 0.6891 0.6002
F9 0.7395 0.2328 0.5160
F10 0.7672 0.2605 0.9840

---

(2)
# HoGaCo4, optimized geometry, DFT PBE-GGA
# Formation energy from the elements (eV per atom): -0.19
data_HoGaCo4
_chemical_formula_sum 'Ho1 Ga1 Co4'
_cell_length_a 4.8842
_cell_length_b 4.8842
_cell_length_c 4.8842
_cell_angle_alpha 60.00
_cell_angle_beta 60.00
_cell_angle_gamma 60.00
_symmetry_space_group_name_H-M 'P 1'
_symmetry_Int_Tables_number 1
loop_
_symmetry_equiv_pos_as_xyz
'x,y,z'
loop_
_atom_site_label
_atom_site_fract_x
_atom_site_fract_y
_atom_site_fract_z
Ho1 0.0000 0.0000 0.0000
Ga1 0.2500 0.2500 0.2500
Co1 0.1281 0.6240 0.6240
Co2 0.6240 0.1281 0.6240
Co3 0.6240 0.6240 0.1281
Co4 0.6240 0.6240 0.6240

---

(3)
# K2Ga2Sb, optimized geometry, DFT PBE-GGA
# Uncorrected formation energy (meV/atom): -153
data_K2Ga2Sb
_chemical_formula_sum 'K4 Ga4 Sb2'
_cell_length_a 7.4303
_cell_length_b 7.4303
_cell_length_c 5.6526
_cell_angle_alpha 90.00
_cell_angle_beta 90.00
_cell_angle_gamma 90.00
_symmetry_space_group_name_H-M 'P 1'
_symmetry_Int_Tables_number 1
loop_
_symmetry_equiv_pos_as_xyz
'x,y,z'
loop_
_atom_site_label
_atom_site_fract_x
_atom_site_fract_y
_atom_site_fract_z
K1 0.1901 0.3099 0.0000
K2 0.3099 0.8099 0.0000
K3 0.6901 0.1901 0.0000
K4 0.8099 0.6901 0.0000
Ga1 0.1203 0.6203 0.5000
Ga2 0.3797 0.1203 0.5000
Ga3 0.6203 0.8797 0.5000
Ga4 0.8797 0.3797 0.5000
Sb1 0.0000 0.0000 0.5000
Sb2 0.5000 0.5000 0.5000

---

(4)
# NpGaRu, optimized geometry, DFT PBE-GGA
# Formation energy from the elements (eV per atom): -0.10
data_NpGaRu
_chemical_formula_sum 'Np1 Ga1 Ru1'
_cell_length_a 4.4559
_cell_length_b 4.4559
_cell_length_c 3.2169
_cell_angle_alpha 90.00
_cell_angle_beta 90.00
_cell_angle_gamma 120.00
_symmetry_space_group_name_H-M 'P 1'
_symmetry_Int_Tables_number 1
loop_
_symmetry_equiv_pos_as_xyz
'x,y,z'
loop_
_atom_site_label
_atom_site_fract_x
_atom_site_fract_y
_atom_site_fract_z
Np1 0.0000 0.0000 0.0000
Ga1 0.6667 0.3333 0.5000
Ru1 0.3333 0.6667 0.5000

---

(5)
# TiPdSeN2, optimized geometry, DFT PBE-GGA
# Uncorrected formation energy (meV/atom): 402
data_TiPdSeN2
_chemical_formula_sum 'Ti1 Pd1 Se1 N2'
_cell_length_a 3.8351
_cell_length_b 3.8351
_cell_length_c 5.4111
_cell_angle_alpha 90.00
_cell_angle_beta 90.00
_cell_angle_gamma 90.00
_symmetry_space_group_name_H-M 'P 1'
_symmetry_Int_Tables_number 1
loop_
_symmetry_equiv_pos_as_xyz
'x,y,z'
loop_
_atom_site_label
_atom_site_fract_x
_atom_site_fract_y
_atom_site_fract_z
Ti1 0.0000 0.0000 0.0000
Pd1 0.5000 0.5000 0.5000
Se1 0.0000 0.0000 0.5000
N1 0.0000 0.5000 0.0000
N2 0.5000 0.0000 0.0000

---

(6)
# SrLiLa2, optimized geometry, DFT PBE-GGA
# Formation energy from the elements (eV per atom): 0.07
data_SrLiLa2
_chemical_formula_sum 'Sr1 Li1 La2'
_cell_length_a 3.8822
_cell_length_b 3.8822
_cell_length_c 9.7241
_cell_angle_alpha 90.00
_cell_angle_beta 90.00
_cell_angle_gamma 90.00
_symmetry_space_group_name_H-M 'P 1'
_symmetry_Int_Tables_number 1
loop_
_symmetry_equiv_pos_as_xyz
'x,y,z'
loop_
_atom_site_label
_atom_site_fract_x
_atom_site_fract_y
_atom_site_fract_z
Sr1 0.0000 0.0000 0.0000
Li1 0.5000 0.5000 0.7646
La1 0.0000 0.0000 0.5574
La2 0.5000 0.5000 0.3126

---

(7)
# Li2TaRu, optimized geometry, DFT PBE-GGA
# Formation energy from the elements (eV per atom): 0.09
data_Li2TaRu
_chemical_formula_sum 'Li2 Ta1 Ru1'
_cell_length_a 3.1750
_cell_length_b 4.0293
_cell_length_c 4.8073
_cell_angle_alpha 90.00
_cell_angle_beta 90.00
_cell_angle_gamma 90.00
_symmetry_space_group_name_H-M 'P 1'
_symmetry_Int_Tables_number 1
loop_
_symmetry_equiv_pos_as_xyz
'x,y,z'
loop_
_atom_site_label
_atom_site_fract_x
_atom_site_fract_y
_atom_site_fract_z
Li1 0.0000 0.0000 0.0000
Li2 0.5000 0.5000 0.0000
Ta1 0.0000 0.5000 0.5000
Ru1 0.5000 0.0000 0.5000

---

(8)
# Na12Sn3Hg, optimized geometry, DFT PBE-GGA
# Formation energy from the elements (eV per atom): -0.10
data_Na12Sn3Hg
_chemical_formula_sum 'Na12 Sn3 Hg1'
_cell_length_a 4.8735
_cell_length_b 4.8735
_cell_length_c 19.6179
_cell_angle_alpha 90.00
_cell_angle_beta 90.00
_cell_angle_gamma 90.00
_symmetry_space_group_name_H-M 'P 1'
_symmetry_Int_Tables_number 1
loop_
_symmetry_equiv_pos_as_xyz
'x,y,z'
loop_
_atom_site_label
_atom_site_fract_x
_atom_site_fract_y
_atom_site_fract_z
Na1 0.0000 0.0000 0.0000
Na2 0.0000 0.0000 0.2489
Na3 0.0000 0.0000 0.5000
Na4 0.0000 0.0000 0.7511
Na5 0.0000 0.5000 0.1270
Na6 0.0000 0.5000 0.3747
Na7 0.0000 0.5000 0.6253
Na8 0.0000 0.5000 0.8730
Na9 0.5000 0.0000 0.1270
Na10 0.5000 0.0000 0.3747
Na11 0.5000 0.0000 0.6253
Na12 0.5000 0.0000 0.8730
Sn1 0.5000 0.5000 0.2465
Sn2 0.5000 0.5000 0.5000
Sn3 0.5000 0.5000 0.7535
Hg1 0.5000 0.5000 0.0000

---

(9)
# CaCrIn2, optimized geometry, DFT PBE-GGA
# Formation energy from the elements (eV per atom): 0.11
data_CaCrIn2
_chemical_formula_sum 'Ca1 Cr1 In2'
_cell_length_a 5.6027
_cell_length_b 5.6027
_cell_length_c 5.6027
_cell_angle_alpha 131.28
_cell_angle_beta 131.14
_cell_angle_gamma 71.48
_symmetry_space_group_name_H-M 'P 1'
_symmetry_Int_Tables_number 1
loop_
_symmetry_equiv_pos_as_xyz
'x,y,z'
loop_
_atom_site_label
_atom_site_fract_x
_atom_site_fract_y
_atom_site_fract_z
Ca1 0.0000 0.0000 0.0000
Cr1 0.2504 0.7504 0.5000
In1 0.5000 0.5000 0.0000
In2 0.7496 0.2496 0.5000

---

(10)
# CaTcSb2, optimized geometry, DFT PBE-GGA
# Uncorrected formation energy (meV/atom): 181
data_CaTcSb2
_chemical_formula_sum 'Ca1 Tc1 Sb2'
_cell_length_a 9.6141
_cell_length_b 9.6141
_cell_length_c 9.6141
_cell_angle_alpha 20.72
_cell_angle_beta 20.72
_cell_angle_gamma 20.72
_symmetry_space_group_name_H-M 'P 1'
_symmetry_Int_Tables_number 1
loop_
_symmetry_equiv_pos_as_xyz
'x,y,z'
loop_
_atom_site_label
_atom_site_fract_x
_atom_site_fract_y
_atom_site_fract_z
Ca1 0.0000 0.0000 0.0000
Tc1 0.2518 0.2518 0.2518
Sb1 0.5238 0.5238 0.5238
Sb2 0.7609 0.7609 0.7609

---

(11)
# PaAsPbO5, optimized geometry, DFT PBE-GGA
# Uncorrected formation energy (meV/atom): -2160
data_PaAsPbO5
_chemical_formula_sum 'Pa2 As2 Pb2 O10'
_cell_length_a 6.2863
_cell_length_b 6.2863
_cell_length_c 8.1413
_cell_angle_alpha 105.36
_cell_angle_beta 105.36
_cell_angle_gamma 100.29
_symmetry_space_group_name_H-M 'P 1'
_symmetry_Int_Tables_number 1
loop_
_symmetry_equiv_pos_as_xyz
'x,y,z'
loop_
_atom_site_label
_atom_site_fract_x
_atom_site_fract_y
_atom_site_fract_z
Pa1 0.0000 0.5000 0.0000
Pa2 0.5000 0.0000 0.5000
As1 0.0517 0.9483 0.7500
As2 0.9483 0.0517 0.2500
Pb1 0.4513 0.5487 0.7500
Pb2 0.5487 0.4513 0.2500
O1 0.1093 0.7599 0.8741
O2 0.2401 0.8907 0.6259
O3 0.2455 0.3322 0.9342
O4 0.2907 0.7093 0.2500
O5 0.3322 0.2455 0.4342
O6 0.6678 0.7545 0.5658
O7 0.7093 0.2907 0.7500
O8 0.7545 0.6678 0.0658
O9 0.7599 0.1093 0.3741
O10 0.8907 0.2401 0.1259

---

(12)
# Er2Tm3Sc4, optimized geometry, DFT PBE-GGA
# Formation energy from the elements (eV per atom): 0.11
data_Er2Tm3Sc4
_chemical_formula_sum 'Er4 Tm6 Sc8'
_cell_length_a 9.5537
_cell_length_b 9.5537
_cell_length_c 5.8210
_cell_angle_alpha 94.55
_cell_angle_beta 94.55
_cell_angle_gamma 70.07
_symmetry_space_group_name_H-M 'P 1'
_symmetry_Int_Tables_number 1
loop_
_symmetry_equiv_pos_as_xyz
'x,y,z'
loop_
_atom_site_label
_atom_site_fract_x
_atom_site_fract_y
_atom_site_fract_z
Er1 0.0154 0.7295 0.6821
Er2 0.2705 0.9846 0.8179
Er3 0.7295 0.0154 0.1821
Er4 0.9846 0.2705 0.3179
Tm1 0.0997 0.9003 0.2500
Tm2 0.2436 0.4306 0.3878
Tm3 0.4306 0.2436 0.8878
Tm4 0.5694 0.7564 0.1122
Tm5 0.7564 0.5694 0.6122
Tm6 0.9003 0.0997 0.7500
Sc1 0.0746 0.3627 0.8453
Sc2 0.3173 0.5998 0.9816
Sc3 0.3627 0.0746 0.3453
Sc4 0.4002 0.6827 0.5184
Sc5 0.5998 0.3173 0.4816
Sc6 0.6373 0.9254 0.6547
Sc7 0.6827 0.4002 0.0184
Sc8 0.9254 0.6373 0.1547